No. 1
## LiCa4Cu (PBE)

Data for an optimized crystal structure of LiCa4Cu.

SG ... F-43m, No. 216
Relative energy among the computed polymorphs ... 0.5546 eV per atom

a b c (Å): 6.884 6.884 6.884
angles (deg): 60.00 60.00 60.00
Element x y z (fractional)
Li  0.000  0.000  0.000
Ca  0.874  0.375  0.375
Ca  0.375  0.375  0.874
Ca  0.375  0.874  0.375
Ca  0.375  0.375  0.375
Cu  0.750  0.750  0.750

No. 2
## Li3CaCu8 (PBE)

Data for an optimized crystal structure of Li3CaCu8.

SG ... R3m, No. 160
Relative energy among the computed polymorphs ... 0.0000 eV per atom

a b c (Å): 4.966 4.966 8.773
angles (deg): 73.56 73.56 60.00
Element x y z (fractional)
Li  0.373  0.373  0.881
Li  0.006  0.006  0.983
Li  0.489  0.489  0.533
Ca  0.876  0.876  0.373
Cu  0.942  0.441  0.177
Cu  0.433  0.937  0.692
Cu  0.441  0.441  0.177
Cu  0.937  0.937  0.692
Cu  0.187  0.187  0.438
Cu  0.689  0.689  0.934
Cu  0.441  0.942  0.177
Cu  0.937  0.433  0.692

No. 3
## LiCaCu2 (PBE)

Data for an optimized crystal structure of LiCaCu2.

SG ... Pm, No. 6
Relative energy among the computed polymorphs ... 0.0570 eV per atom

a b c (Å): 4.166 3.674 5.546
angles (deg): 71.30 90.00 90.00
Element x y z (fractional)
Ca  0.500  0.775  0.817
Cu  0.000  0.173  0.024
Cu  0.500  0.062  0.261
Li  0.000  0.490  0.398

No. 4
## Li9CaCu2 (PBE)

Data for an optimized crystal structure of Li9CaCu2.

SG ... I4_1/amd, No. 141

a b c (Å): 7.309 8.694 8.694
angles (deg): 79.82 65.14 65.14
Element x y z (fractional)
Li  0.750  0.500  0.500
Li  0.000  0.000  0.000
Li  0.017  0.923  0.679
Li  0.619  0.077  0.321
Li  0.690  0.179  0.577
Li  0.446  0.821  0.423
Li  0.733  0.821  0.577
Li  0.131  0.179  0.423
Li  0.060  0.923  0.321
Li  0.304  0.077  0.679
Li  0.733  0.577  0.821
Li  0.131  0.423  0.179
Li  0.060  0.321  0.923
Li  0.304  0.679  0.077
Li  0.017  0.679  0.923
Li  0.619  0.321  0.077
Li  0.690  0.577  0.179
Li  0.446  0.423  0.821
Ca  0.500  0.000  0.000
Ca  0.250  0.500  0.500
Cu  0.875  0.250  0.750
Cu  0.875  0.750  0.250
Cu  0.875  0.250  0.250
Cu  0.375  0.750  0.750

No. 5
## LiCaCu2 (PBE)

Data for an optimized crystal structure of LiCaCu2.

SG ... P2/m, No. 10
Relative energy among the computed polymorphs ... 0.0461 eV per atom

a b c (Å): 3.411 3.335 7.128
angles (deg): 61.85 90.00 90.00
Element x y z (fractional)
Ca  0.500  0.750  0.750
Cu  0.000  0.946  0.054
Cu  0.000  0.554  0.446
Li  0.500  0.250  0.250

No. 6
## LiCaCu3 (PBE)

Data for an optimized crystal structure of LiCaCu3.

SG ... I4mm, No. 107
Relative energy among the computed polymorphs ... 0.0000 eV per atom

a b c (Å): 4.137 4.137 5.883
angles (deg): 110.58 110.58 90.00
Element x y z (fractional)
Li  0.639  0.639  0.277
Ca  0.010  0.010  0.020
Cu  0.273  0.773  0.547
Cu  0.773  0.273  0.547
Cu  0.395  0.395  0.789

No. 7
## LiCaCu2 (PBE)

Data for an optimized crystal structure of LiCaCu2.

SG ... I-42d, No. 122
Relative energy among the computed polymorphs ... 0.2206 eV per atom

a b c (Å): 4.628 4.628 8.936
angles (deg): 74.99 74.99 90.00
Element x y z (fractional)
Ca  0.000  0.000  0.000
Ca  0.750  0.250  0.500
Cu  0.374  0.125  0.250
Cu  0.376  0.625  0.250
Cu  0.375  0.626  0.750
Cu  0.875  0.624  0.750
Li  0.500  0.500  0.000
Li  0.250  0.750  0.500

No. 8
## LiCaCu3 (PBE)

Data for an optimized crystal structure of LiCaCu3.

SG ... Pm-3m, No. 221
Relative energy among the computed polymorphs ... 0.9466 eV per atom

a b c (Å): 5.265 5.265 5.265
angles (deg): 90.00 90.00 90.00
Element x y z (fractional)
Ca  0.000  0.000  0.000
Cu  0.000  0.500  0.000
Cu  0.000  0.000  0.500
Cu  0.500  0.000  0.000
Li  0.500  0.500  0.500

No. 9
## Li2CaCu3 (PBE)

Data for an optimized crystal structure of Li2CaCu3.

SG ... Cmmm, No. 65

a b c (Å): 5.269 6.665 6.665
angles (deg): 75.03 66.72 66.72
Element x y z (fractional)
Li  0.334  0.916  0.916
Li  0.334  0.416  0.416
Li  0.666  0.584  0.584
Li  0.666  0.084  0.084
Ca  0.000  0.250  0.250
Ca  0.000  0.750  0.750
Cu  0.000  0.750  0.250
Cu  0.000  0.250  0.750
Cu  0.500  0.750  0.250
Cu  0.500  0.000  0.500
Cu  0.500  0.500  0.000
Cu  0.500  0.250  0.750

No. 10
## LiCa4Cu (PBE)

Data for an optimized crystal structure of LiCa4Cu.

SG ... P2_1/m, No. 11
Relative energy among the computed polymorphs ... 0.0000 eV per atom

a b c (Å): 6.118 7.441 9.618
angles (deg): 90.00 115.93 90.00
Element x y z (fractional)
Li  0.280  0.250  0.066
Li  0.720  0.750  0.934
Ca  0.569  0.250  0.438
Ca  0.431  0.750  0.562
Ca  0.637  0.250  0.857
Ca  0.363  0.750  0.143
Ca  0.932  0.010  0.264
Ca  0.068  0.510  0.736
Ca  0.932  0.490  0.264
Ca  0.068  0.990  0.736
Cu  0.173  0.250  0.542
Cu  0.827  0.750  0.458

No. 11
## LiCa2Cu (PBE)

Data for an optimized crystal structure of LiCa2Cu.

SG ... Cm, No. 8

a b c (Å): 6.563 6.563 5.135
angles (deg): 66.54 66.54 32.01
Element x y z (fractional)
Ca  0.998  0.998  0.003
Ca  0.204  0.204  0.294
Cu  0.485  0.485  0.517
Li  0.813  0.813  0.686

No. 12
## LiCaCu10 (PBE)

Data for an optimized crystal structure of LiCaCu10.

SG ... Pmmm, No. 47

a b c (Å): 4.093 4.919 8.696
angles (deg): 90.00 90.00 90.00
Element x y z (fractional)
Li  0.000  0.500  0.500
Ca  0.000  0.000  0.000
Cu  0.000  0.000  0.343
Cu  0.000  0.500  0.816
Cu  0.000  0.500  0.184
Cu  0.000  0.000  0.657
Cu  0.500  0.000  0.500
Cu  0.500  0.500  0.000
Cu  0.500  0.250  0.253
Cu  0.500  0.750  0.747
Cu  0.500  0.750  0.253
Cu  0.500  0.250  0.747

How do the records compare in DOS at the Fermi energy? In the order shown, they have 7.219, 4.642, 1.533, 11.834, 1.281, 1.796, 3.229, 0.734, 6.693, 9.766, 2.495, 3.475 states/eV/cell.
How do the records compare in calculated formation energy? In the order shown, they have 12.80, -2.13, -0.19, 0.30, -0.44, 0.15, 3.59, 21.97, -0.88, 0.02, 0.27, -1.27 kcal/mol of atoms.